Density functional theory data (GGA-PBE) for an optimized crystal structure of Cu2Si2S.

The space group is I4/mmm (No. 139) and the conventional cell measures 3.528, 3.528 and 11.958 Å, with angles of 90.00, 90.00 and 90.00 degrees. The distinct sites, in fractional coordinates, are Cu at (0.000, 0.000, 0.104), Si at (0.000, 0.500, 0.250) and S at (0.000, 0.000, 0.500).

The calculation puts the density of states at the Fermi level at 6.58 states/eV per cell. The calculation puts the energy above the most stable polymorph in this dataset at 0.000 eV/atom. The calculation puts the uncorrected formation energy at 316 meV per atom.

=====

Density functional theory data (GGA-PBE) for an optimized crystal structure of Cu3SiS.

The space group is Pm-3m (No. 221) and the conventional cell measures 4.435, 4.435 and 4.435 Å, with angles of 90.00, 90.00 and 90.00 degrees. The distinct sites, in fractional coordinates, are Cu at (0.000, 0.000, 0.500), Si at (0.000, 0.000, 0.000) and S at (0.500, 0.500, 0.500).

The calculation puts the density of states at the Fermi level at 6.04 states/eV per cell. The calculation puts the energy above the most stable polymorph in this dataset at 0.153 eV/atom. The calculation puts the uncorrected formation energy at 716 meV per atom.

=====

Density functional theory data (GGA-PBE) for an optimized crystal structure of Cu2Si4S.

The space group is I4/mmm (No. 139) and the conventional cell measures 4.538, 4.538 and 11.727 Å, with angles of 90.00, 90.00 and 90.00 degrees. The distinct sites, in fractional coordinates, are Cu at (0.000, 0.000, 0.104), Si at (0.000, 0.000, 0.296), Si at (0.000, 0.500, 0.000) and S at (0.000, 0.000, 0.500).

The calculation puts the density of states at the Fermi level at 4.91 states/eV per cell. The calculation puts the uncorrected formation energy at 666 meV per atom.

=====

Density functional theory data (GGA-PBE) for an optimized crystal structure of CuSiS.

The space group is P2_1/m (No. 11) and the conventional cell measures 5.037, 3.739 and 5.587 Å, with angles of 90.00, 100.30 and 90.00 degrees. The distinct sites, in fractional coordinates, are Cu at (0.203, 0.250, 0.234), Si at (0.491, 0.250, 0.638) and S at (0.140, 0.250, 0.807).

The calculation puts the density of states at the Fermi level at 1.18 states/eV per cell. The calculation puts the uncorrected formation energy at -114 meV per atom.

=====

Density functional theory data (GGA-PBE) for an optimized crystal structure of CuSiS.

The space group is C2/m (No. 12) and the conventional cell measures 10.992, 3.264 and 5.511 Å, with angles of 90.00, 98.48 and 90.00 degrees. The distinct sites, in fractional coordinates, are Cu at (0.115, 0.000, 0.252), Si at (0.173, 0.500, 0.583) and S at (0.101, 0.000, 0.817).

The calculation puts the density of states at the Fermi level at 1.63 states/eV per cell. The calculation puts the uncorrected formation energy at -132 meV per atom.

=====

Density functional theory data (GGA-PBE) for an optimized crystal structure of Cu2SiS.

The space group is I-42d (No. 122) and the conventional cell measures 5.678, 5.678 and 8.807 Å, with angles of 90.00, 90.00 and 90.00 degrees. The distinct sites, in fractional coordinates, are Cu at (0.236, 0.250, 0.125), Si at (0.000, 0.000, 0.500) and S at (0.000, 0.000, 0.000).

The calculation puts the density of states at the Fermi level at 3.10 states/eV per cell. The calculation puts the energy above the most stable polymorph in this dataset at 0.000 eV/atom. The calculation puts the uncorrected formation energy at 171 meV per atom.

=====

Density functional theory data (GGA-PBE) for an optimized crystal structure of CuSiS.

The space group is P-1 (No. 2) and the conventional cell measures 3.919, 3.920 and 8.261 Å, with angles of 95.21, 90.07 and 119.97 degrees. The distinct sites, in fractional coordinates, are Cu at (0.037, 0.073, 0.341), Si at (0.328, 0.655, 0.955) and S at (0.298, 0.598, 0.687).

The calculation puts the density of states at the Fermi level at 0.56 states/eV per cell. The calculation puts the uncorrected formation energy at -211 meV per atom.

=====

Density functional theory data (GGA-PBE) for an optimized crystal structure of CuSiS.

The space group is Pbcm (No. 57) and the conventional cell measures 6.789, 7.177 and 5.427 Å, with angles of 90.00, 90.00 and 90.00 degrees. The distinct sites, in fractional coordinates, are Cu at (0.051, 0.068, 0.250), Si at (0.145, 0.750, 0.000) and S at (0.347, 0.592, 0.750).

The calculation puts the density of states at the Fermi level at 2.56 states/eV per cell. The calculation puts the uncorrected formation energy at -86 meV per atom.

=====

Density functional theory data (GGA-PBE) for an optimized crystal structure of CuSiS.

The space group is Cm (No. 8) and the conventional cell measures 6.789, 3.891 and 8.169 Å, with angles of 90.00, 98.94 and 90.00 degrees. The distinct sites, in fractional coordinates, are Cu at (0.000, 0.000, 0.000), Cu at (0.038, 0.500, 0.252), Si at (0.292, 0.000, 0.673), Si at (0.443, 0.500, 0.581), S at (0.319, 0.000, 0.946) and S at (0.378, 0.500, 0.309).

The calculation puts the density of states at the Fermi level at 0.60 states/eV per cell. The calculation puts the uncorrected formation energy at -200 meV per atom.

=====

Density functional theory data (GGA-PBE) for an optimized crystal structure of CuSiS4.

The space group is C2/m (No. 12) and the conventional cell measures 14.406, 3.288 and 5.730 Å, with angles of 90.00, 112.90 and 90.00 degrees. The distinct sites, in fractional coordinates, are Cu at (0.000, 0.000, 0.000), Si at (0.000, 0.500, 0.500), S at (0.099, 0.500, 0.277) and S at (0.102, 0.000, 0.754).

The calculation puts the density of states at the Fermi level at 5.73 states/eV per cell. The calculation puts the uncorrected formation energy at -174 meV per atom.

=====

Density functional theory data (GGA-PBE) for an optimized crystal structure of CuSiS.

The space group is P-1 (No. 2) and the conventional cell measures 3.322, 5.512 and 7.174 Å, with angles of 105.76, 90.82 and 107.40 degrees. The distinct sites, in fractional coordinates, are Cu at (0.245, 0.001, 0.358), Si at (0.029, 0.568, 0.359) and S at (0.397, 0.312, 0.196).

The calculation puts the density of states at the Fermi level at 0.86 states/eV per cell. The calculation puts the uncorrected formation energy at -144 meV per atom.

=====

Density functional theory data (GGA-PBE) for an optimized crystal structure of CuSiS.

The space group is P1 (No. 1) and the conventional cell measures 3.905, 5.511 and 5.766 Å, with angles of 77.60, 73.69 and 88.28 degrees. The distinct sites, in fractional coordinates, are Cu at (0.000, 0.000, 0.000), Cu at (0.108, 0.414, 0.703), Si at (0.594, 0.171, 0.761), Si at (0.622, 0.650, 0.642), S at (0.494, 0.744, 0.012) and S at (0.682, 0.032, 0.415).

The calculation puts the density of states at the Fermi level at 1.25 states/eV per cell. The calculation puts the uncorrected formation energy at -82 meV per atom.

=====

Repeat the tenth record exactly.
Density functional theory data (GGA-PBE) for an optimized crystal structure of CuSiS4.

The space group is C2/m (No. 12) and the conventional cell measures 14.406, 3.288 and 5.730 Å, with angles of 90.00, 112.90 and 90.00 degrees. The distinct sites, in fractional coordinates, are Cu at (0.000, 0.000, 0.000), Si at (0.000, 0.500, 0.500), S at (0.099, 0.500, 0.277) and S at (0.102, 0.000, 0.754).

The calculation puts the density of states at the Fermi level at 5.73 states/eV per cell. The calculation puts the uncorrected formation energy at -174 meV per atom.